[1]
# LaReMo2

A relaxed structure of LaReMo2 (PBE-GGA, the Alexandria database).

Lattice parameters (Å, degrees): 3.255 4.569 4.967 90.00 90.00 90.00
Atoms (fractional coordinates):
La  0.000  0.000  0.000
Re  0.500  0.000  0.500
Mo  0.000  0.500  0.500
Mo  0.500  0.500  0.000

Calculated values
Distance to the lowest polymorph of the same formula, meV/atom: 284
Symmetry: No. 47
Energy of formation from the pure elements, eV per atom: 0.667



[2]
# ScCrSi

A relaxed structure of ScCrSi (PBE-GGA, the Alexandria database).

Lattice parameters (Å, degrees): 3.012 3.012 6.219 90.00 90.00 120.00
Atoms (fractional coordinates):
Sc  0.000  0.000  0.000
Cr  0.333  0.667  0.650
Si  0.667  0.333  0.366

Calculated values
Symmetry: No. 156



[3]
# K2SnBRu

A relaxed structure of K2SnBRu (PBE-GGA, the Alexandria database).

Lattice parameters (Å, degrees): 6.240 6.240 4.078 90.00 90.00 90.00
Atoms (fractional coordinates):
K  0.000  0.500  0.000
K  0.500  0.000  0.000
Sn  0.000  0.000  0.500
B  0.000  0.000  0.000
Ru  0.500  0.500  0.500

Calculated values
Symmetry: No. 123
Energy of formation from the pure elements, eV per atom: 1.312



[4]
# Li2CrH5

A relaxed structure of Li2CrH5 (PBE-GGA, the Alexandria database).

Lattice parameters (Å, degrees): 7.933 5.593 4.933 90.00 90.00 90.00
Atoms (fractional coordinates):
Li  0.172  0.007  0.055
Li  0.172  0.493  0.055
Li  0.328  0.507  0.555
Li  0.328  0.993  0.555
Li  0.672  0.007  0.445
Li  0.672  0.493  0.445
Li  0.828  0.507  0.945
Li  0.828  0.993  0.945
Cr  0.014  0.250  0.568
Cr  0.486  0.750  0.068
Cr  0.514  0.250  0.932
Cr  0.986  0.750  0.432
H  0.012  0.250  0.907
H  0.065  0.540  0.674
H  0.065  0.960  0.674
H  0.191  0.250  0.365
H  0.196  0.750  0.335
H  0.304  0.250  0.835
H  0.309  0.750  0.865
H  0.435  0.040  0.174
H  0.435  0.460  0.174
H  0.488  0.750  0.407
H  0.512  0.250  0.593
H  0.565  0.540  0.826
H  0.565  0.960  0.826
H  0.691  0.250  0.135
H  0.696  0.750  0.165
H  0.804  0.250  0.665
H  0.809  0.750  0.635
H  0.935  0.040  0.326
H  0.935  0.460  0.326
H  0.988  0.750  0.093

Calculated values
Symmetry: No. 62



| no. | VASP energy (eV/cell) |
| --- | --- |
| 1 | -36.37 |
| 2 | -20.97 |
| 3 | -15.59 |
| 4 | -127.02 |